{"formula": "Tm3CoI3", "functional": "PBE-GGA", "state": "relaxed", "raw_formation_energy_ev_per_atom": -0.91, "lattice_angstrom": [[8.773, 0.000, 0.000], [0.000, 4.087, 0.000], [-0.754, 0.000, 12.275]], "species": ["Tm", "Tm", "Tm", "Tm", "Tm", "Tm", "Co", "Co", "I", "I", "I", "I", "I", "I"], "frac_coords": [[0.092, 0.250, 0.302], [0.136, 0.250, 0.876], [0.244, 0.750, 0.096], [0.756, 0.250, 0.904], [0.864, 0.750, 0.124], [0.908, 0.750, 0.698], [0.046, 0.250, 0.086], [0.954, 0.750, 0.914], [0.144, 0.250, 0.613], [0.347, 0.750, 0.357], [0.425, 0.750, 0.868], [0.575, 0.250, 0.132], [0.653, 0.250, 0.643], [0.856, 0.750, 0.387]]}

***

{"formula": "Ce3HoEr2As6", "functional": "PBE-GGA", "state": "relaxed", "formation_enthalpy_0k_ev_per_atom": -1.473, "lattice_angstrom": [[3.599, -6.234, 0.000], [3.599, 6.234, 0.000], [-2.400, 0.000, 6.767]], "species": ["Ce", "Ce", "Ce", "Ho", "Er", "Er", "As", "As", "As", "As", "As", "As"], "frac_coords": [[0.000, 0.000, 0.000], [0.333, 0.667, 0.000], [0.667, 0.333, 0.000], [0.500, 0.500, 0.500], [0.167, 0.833, 0.500], [0.833, 0.167, 0.500], [0.085, 0.419, 0.256], [0.247, 0.247, 0.743], [0.419, 0.085, 0.256], [0.581, 0.915, 0.744], [0.753, 0.753, 0.257], [0.915, 0.581, 0.744]]}

***

{"formula": "DyScAgSb", "functional": "PBE-GGA", "state": "relaxed", "raw_formation_energy_ev_per_atom": -0.49, "lattice_angstrom": [[0.000, 3.603, 3.603], [3.603, 0.000, 3.603], [3.603, 3.603, 0.000]], "species": ["Dy", "Sc", "Ag", "Sb"], "frac_coords": [[0.000, 0.000, 0.000], [0.500, 0.500, 0.500], [0.750, 0.750, 0.750], [0.250, 0.250, 0.250]]}

***

{"formula": "DyHo5Ga4", "functional": "PBE-GGA", "state": "relaxed", "formation_enthalpy_0k_ev_per_atom": -0.288, "lattice_angstrom": [[8.551, -1.831, 0.000], [8.551, 1.831, 0.000], [-0.815, 0.000, 8.649]], "species": ["Dy", "Ho", "Ho", "Ho", "Ho", "Ho", "Ga", "Ga", "Ga", "Ga"], "frac_coords": [[0.000, 0.000, 0.000], [0.000, 0.000, 0.500], [0.312, 0.312, 0.652], [0.350, 0.350, 0.219], [0.650, 0.650, 0.781], [0.688, 0.688, 0.348], [0.186, 0.186, 0.060], [0.477, 0.477, 0.744], [0.523, 0.523, 0.256], [0.814, 0.814, 0.940]]}

***

{"formula": "Tb2Y3Cd2", "functional": "PBE-GGA", "state": "relaxed", "formation_enthalpy_0k_ev_per_atom": -0.056, "relative_energy_kj_per_mol_atoms": 9.6, "lattice_angstrom": [[2.528, -11.450, 0.000], [2.528, 11.450, 0.000], [0.000, 0.000, 3.478]], "species": ["Tb", "Tb", "Y", "Y", "Y", "Cd", "Cd"], "frac_coords": [[0.211, 0.789, 0.000], [0.789, 0.211, 0.000], [0.355, 0.645, 0.500], [0.500, 0.500, 0.500], [0.645, 0.355, 0.500], [0.069, 0.931, 0.000], [0.931, 0.069, 0.000]]}

***

{"formula": "KLa3Se", "functional": "PBE-GGA", "state": "relaxed", "raw_formation_energy_ev_per_atom": -0.40, "relative_energy_kj_per_mol_atoms": 0.0, "lattice_angstrom": [[5.894, 0.000, 0.000], [0.000, 5.894, 0.000], [0.000, 0.000, 5.894]], "species": ["K", "La", "La", "La", "Se"], "frac_coords": [[0.000, 0.000, 0.000], [0.000, 0.500, 0.500], [0.500, 0.000, 0.500], [0.500, 0.500, 0.000], [0.500, 0.500, 0.500]]}

***

{"formula": "MgFe2Co", "functional": "PBE-GGA", "state": "relaxed", "formation_enthalpy_0k_ev_per_atom": 0.749, "lattice_angstrom": [[-3.335, 3.335, 2.385], [3.335, -3.335, 2.385], [3.335, 3.335, -2.385]], "species": ["Mg", "Mg", "Fe", "Fe", "Fe", "Fe", "Co", "Co"], "frac_coords": [[0.000, 0.000, 0.000], [0.750, 0.250, 0.500], [0.180, 0.125, 0.555], [0.375, 0.820, 0.945], [0.570, 0.625, 0.445], [0.875, 0.430, 0.055], [0.250, 0.750, 0.500], [0.500, 0.500, 0.000]]}

***

{"formula": "TcPt2W", "functional": "PBE-GGA", "state": "relaxed", "formation_enthalpy_0k_ev_per_atom": -0.053, "relative_energy_kj_per_mol_atoms": 16.5, "lattice_angstrom": [[1.390, 0.803, 9.241], [-1.390, 0.803, 9.241], [0.000, -1.605, 9.241]], "species": ["Tc", "Pt", "Pt", "W"], "frac_coords": [[0.000, 0.000, 0.000], [0.253, 0.253, 0.253], [0.498, 0.498, 0.498], [0.750, 0.750, 0.750]]}

***

{"formula": "TbPmPrIn", "functional": "PBE-GGA", "state": "relaxed", "formation_enthalpy_0k_ev_per_atom": -0.236, "relative_energy_kj_per_mol_atoms": 0.0, "lattice_angstrom": [[-2.444, 2.444, 5.074], [2.444, -2.444, 5.074], [2.444, 2.444, -5.074]], "species": ["Tb", "Pm", "Pr", "In"], "frac_coords": [[0.000, 0.000, 0.000], [0.500, 0.500, 0.000], [0.750, 0.250, 0.500], [0.250, 0.750, 0.500]]}

***

{"formula": "CsRbSb2", "functional": "PBE-GGA", "state": "relaxed", "raw_formation_energy_ev_per_atom": 0.07, "relative_energy_kj_per_mol_atoms": 46.4, "lattice_angstrom": [[0.000, 4.395, 4.395], [4.395, 0.000, 4.395], [4.395, 4.395, 0.000]], "species": ["Cs", "Rb", "Sb", "Sb"], "frac_coords": [[0.000, 0.000, 0.000], [0.500, 0.500, 0.500], [0.250, 0.250, 0.250], [0.750, 0.750, 0.750]]}

***

{"formula": "Sr2SiIr", "functional": "PBE-GGA", "state": "relaxed", "raw_formation_energy_ev_per_atom": -0.35, "lattice_angstrom": [[-5.639, 5.639, 2.295], [5.639, -5.639, 2.295], [5.639, 5.639, -2.295]], "species": ["Sr", "Sr", "Sr", "Sr", "Si", "Si", "Ir", "Ir"], "frac_coords": [[0.375, 0.193, 0.318], [0.807, 0.125, 0.182], [0.875, 0.057, 0.682], [0.943, 0.625, 0.818], [0.250, 0.750, 0.500], [0.500, 0.500, 0.000], [0.000, 0.000, 0.000], [0.750, 0.250, 0.500]]}

***

{"formula": "PuH2I", "functional": "PBE-GGA", "state": "relaxed", "relative_energy_kj_per_mol_atoms": 49.0, "lattice_angstrom": [[3.228, 0.000, 0.000], [0.000, 3.228, 0.000], [0.000, 0.000, 6.487]], "species": ["Pu", "H", "H", "I"], "frac_coords": [[0.000, 0.000, 0.000], [0.500, 0.500, 0.144], [0.500, 0.500, 0.856], [0.000, 0.000, 0.500]]}

***

{"formula": "Dy3Tm4Sc", "functional": "PBE-GGA", "state": "relaxed", "formation_enthalpy_0k_ev_per_atom": 0.008, "relative_energy_kj_per_mol_atoms": 0.0, "lattice_angstrom": [[11.018, 0.000, 0.000], [0.000, 7.122, 0.000], [0.000, 0.000, 6.148]], "species": ["Dy", "Dy", "Dy", "Dy", "Dy", "Dy", "Tm", "Tm", "Tm", "Tm", "Tm", "Tm", "Tm", "Tm", "Sc", "Sc"], "frac_coords": [[0.000, 0.125, 0.000], [0.250, 0.124, 0.332], [0.250, 0.876, 0.832], [0.500, 0.875, 0.500], [0.750, 0.124, 0.332], [0.750, 0.876, 0.832], [0.000, 0.375, 0.503], [0.000, 0.625, 0.999], [0.246, 0.626, 0.336], [0.254, 0.374, 0.836], [0.500, 0.375, 0.499], [0.500, 0.625, 0.003], [0.746, 0.374, 0.836], [0.754, 0.626, 0.336], [0.000, 0.874, 0.499], [0.500, 0.126, 0.999]]}

***

{"formula": "Sm3Zn9Cd2", "functional": "PBE-GGA", "state": "relaxed", "formation_enthalpy_0k_ev_per_atom": -0.314, "lattice_angstrom": [[-2.261, 4.463, 6.788], [2.261, -4.463, 6.788], [2.261, 4.463, -6.788]], "species": ["Sm", "Sm", "Sm", "Zn", "Zn", "Zn", "Zn", "Zn", "Zn", "Zn", "Zn", "Zn", "Cd", "Cd"], "frac_coords": [[0.000, 0.000, 0.000], [0.292, 0.292, 0.000], [0.708, 0.708, 0.000], [0.025, 0.663, 0.361], [0.136, 0.857, 0.279], [0.302, 0.663, 0.639], [0.422, 0.143, 0.279], [0.500, 0.000, 0.500], [0.578, 0.857, 0.721], [0.698, 0.337, 0.361], [0.864, 0.143, 0.721], [0.975, 0.337, 0.639], [0.313, 0.500, 0.813], [0.687, 0.500, 0.187]]}

***

{"formula": "HfCoPd", "functional": "PBE-GGA", "state": "relaxed", "formation_enthalpy_0k_ev_per_atom": -0.220, "lattice_angstrom": [[4.311, 0.000, 0.000], [-2.156, 3.734, 0.000], [0.000, 0.000, 2.906]], "species": ["Hf", "Co", "Pd"], "frac_coords": [[0.000, 0.000, 0.000], [0.333, 0.667, 0.282], [0.667, 0.333, 0.641]]}

***

{"formula": "Ac5CoPd", "functional": "PBE-GGA", "state": "relaxed", "formation_enthalpy_0k_ev_per_atom": -0.185, "lattice_angstrom": [[3.532, -7.166, 0.000], [3.532, 7.166, 0.000], [-2.726, 0.000, 10.203]], "species": ["Ac", "Ac", "Ac", "Ac", "Ac", "Ac", "Ac", "Ac", "Ac", "Ac", "Co", "Co", "Pd", "Pd"], "frac_coords": [[0.037, 0.364, 0.635], [0.075, 0.925, 0.750], [0.242, 0.463, 0.023], [0.364, 0.037, 0.135], [0.463, 0.242, 0.523], [0.537, 0.758, 0.477], [0.636, 0.963, 0.865], [0.758, 0.537, 0.977], [0.925, 0.075, 0.250], [0.963, 0.636, 0.365], [0.000, 0.000, 0.000], [0.000, 0.000, 0.500], [0.478, 0.522, 0.750], [0.522, 0.478, 0.250]]}

***

{"formula": "Fe2IrOs", "functional": "PBE-GGA", "state": "relaxed", "formation_enthalpy_0k_ev_per_atom": 0.087, "lattice_angstrom": [[-1.861, 1.861, 3.608], [1.861, -1.861, 3.608], [1.861, 1.861, -3.608]], "species": ["Fe", "Fe", "Ir", "Os"], "frac_coords": [[0.250, 0.750, 0.500], [0.750, 0.250, 0.500], [0.000, 0.000, 0.000], [0.500, 0.500, 0.000]]}

***

{"formula": "Tb6Sm2Y3Tl", "functional": "PBE-GGA", "state": "relaxed", "formation_enthalpy_0k_ev_per_atom": -0.022, "lattice_angstrom": [[3.064, -5.314, 0.000], [3.064, 5.314, 0.000], [-2.058, 0.000, 11.572]], "species": ["Tb", "Tb", "Tb", "Tb", "Tb", "Tb", "Sm", "Sm", "Y", "Y", "Y", "Tl"], "frac_coords": [[0.082, 0.411, 0.749], [0.245, 0.245, 0.250], [0.411, 0.082, 0.749], [0.589, 0.918, 0.251], [0.755, 0.755, 0.750], [0.918, 0.589, 0.251], [0.334, 0.666, 0.500], [0.666, 0.334, 0.500], [0.167, 0.833, 0.000], [0.500, 0.500, 0.000], [0.833, 0.167, 0.000], [0.000, 0.000, 0.500]]}

***

{"formula": "Ac6AgPt2I3", "functional": "PBE-GGA", "state": "relaxed", "raw_formation_energy_ev_per_atom": -1.01, "lattice_angstrom": [[3.938, -6.817, 0.000], [3.938, 6.817, 0.000], [-2.628, 0.000, 8.600]], "species": ["Ac", "Ac", "Ac", "Ac", "Ac", "Ac", "Ag", "Pt", "Pt", "I", "I", "I"], "frac_coords": [[0.087, 0.437, 0.811], [0.213, 0.213, 0.189], [0.437, 0.087, 0.811], [0.563, 0.913, 0.189], [0.787, 0.787, 0.811], [0.913, 0.563, 0.189], [0.500, 0.500, 0.000], [0.167, 0.833, 0.000], [0.833, 0.167, 0.000], [0.000, 0.000, 0.500], [0.335, 0.665, 0.500], [0.665, 0.335, 0.500]]}

***

{"formula": "CdTe2", "functional": "PBE-GGA", "state": "relaxed", "raw_formation_energy_ev_per_atom": 0.00, "lattice_angstrom": [[2.142, -10.467, 0.000], [2.142, 10.467, 0.000], [0.000, 0.000, 4.077]], "species": ["Cd", "Cd", "Te", "Te", "Te", "Te"], "frac_coords": [[0.103, 0.897, 0.750], [0.897, 0.103, 0.250], [0.229, 0.771, 0.250], [0.437, 0.563, 0.750], [0.563, 0.437, 0.250], [0.771, 0.229, 0.750]]}